# CuAgO

A relaxed CuAgO crystal (PBE-GGA, Alexandria via LeMat-Bulk).

Computed properties:
Formation energy from raw total energies = -0.0426 eV per atom
Calculated volume = 158.6 Å³ per cell
Calculated total energy = -4.011 eV per atom

Cell: 3.029 5.179 10.108 Å, 90.00 90.00 90.00°
Space group Fmm2 (No. 42)
Unique sites:
Cu1 0.000 0.000 0.000 [4 per cell]
Ag1 0.000 0.000 0.709 [4 per cell]
O1 0.000 0.000 0.387 [4 per cell]